#P
Material: Ni3Pt2W2
Method: DFT, PBE
State: relaxed

Calculated values
**SG**: C2/m (12)

```
data_Ni3Pt2W2
_symmetry_space_group_name_H-M 'P 1'
_symmetry_Int_Tables_number 1
_symmetry_space_group_name_Hall 'P 1'
_cell_length_a 3.757
_cell_length_b 4.739
_cell_length_c 5.985
_cell_angle_alpha 97.41
_cell_angle_beta 90.00
_cell_angle_gamma 113.35
loop_
_atom_site_label
_atom_site_type_symbol
_atom_site_fract_x
_atom_site_fract_y
_atom_site_fract_z
_atom_site_occupancy
Ni1 Ni 0.293 0.586 0.859 1
Ni2 Ni 0.000 0.000 0.000 1
Ni3 Ni 0.707 0.414 0.141 1
Pt1 Pt 0.574 0.149 0.727 1
Pt2 Pt 0.426 0.851 0.273 1
W1 W 0.147 0.294 0.407 1
W2 W 0.853 0.706 0.593 1
```

***

#Q
Material: Ni3Pt2W2
Method: DFT, PBE
State: relaxed

Calculated values
**SG**: Pmmm (47)

```
data_Ni3Pt2W2
_symmetry_space_group_name_H-M 'P 1'
_symmetry_Int_Tables_number 1
_symmetry_space_group_name_Hall 'P 1'
_cell_length_a 2.725
_cell_length_b 4.599
_cell_length_c 7.949
_cell_angle_alpha 89.98
_cell_angle_beta 90.00
_cell_angle_gamma 90.00
loop_
_atom_site_label
_atom_site_type_symbol
_atom_site_fract_x
_atom_site_fract_y
_atom_site_fract_z
_atom_site_occupancy
Ni1 Ni 0.000 0.260 0.500 1
Ni2 Ni 0.000 0.000 0.000 1
Ni3 Ni 0.000 0.740 0.500 1
Pt1 Pt 0.000 0.500 0.823 1
Pt2 Pt 0.000 0.500 0.177 1
W1 W 0.500 0.000 0.274 1
W2 W 0.500 0.000 0.726 1
```

***

#P comes first in stability; the runner-up is 6.8 kJ/mol of atoms higher.

***

#P
Material: Ni3PtW
Method: DFT, PBE
State: relaxed

Calculated values
**SG**: Cmcm (63)

```
data_Ni3PtW
_symmetry_space_group_name_H-M 'P 1'
_symmetry_Int_Tables_number 1
_symmetry_space_group_name_Hall 'P 1'
_cell_length_a 3.842
_cell_length_b 5.194
_cell_length_c 6.857
_cell_angle_alpha 90.00
_cell_angle_beta 106.28
_cell_angle_gamma 90.00
loop_
_atom_site_label
_atom_site_type_symbol
_atom_site_fract_x
_atom_site_fract_y
_atom_site_fract_z
_atom_site_occupancy
Ni1 Ni 0.402 0.502 0.304 1
Ni2 Ni 0.598 0.002 0.696 1
Ni3 Ni 0.598 0.498 0.696 1
Ni4 Ni 0.402 0.998 0.304 1
Ni5 Ni 0.823 0.250 0.146 1
Ni6 Ni 0.177 0.750 0.854 1
Pt1 Pt 0.794 0.750 0.089 1
Pt2 Pt 0.206 0.250 0.911 1
W1 W 0.992 0.750 0.484 1
W2 W 0.008 0.250 0.516 1
```

***

#Q
Material: Ni3PtW
Method: DFT, PBE
State: relaxed

Calculated values
**SG**: Pnma (62)

```
data_Ni3PtW
_symmetry_space_group_name_H-M 'P 1'
_symmetry_Int_Tables_number 1
_symmetry_space_group_name_Hall 'P 1'
_cell_length_a 6.673
_cell_length_b 6.923
_cell_length_c 5.591
_cell_angle_alpha 90.00
_cell_angle_beta 90.00
_cell_angle_gamma 90.00
loop_
_atom_site_label
_atom_site_type_symbol
_atom_site_fract_x
_atom_site_fract_y
_atom_site_fract_z
_atom_site_occupancy
Ni1 Ni 0.878 0.132 0.967 1
Ni2 Ni 0.622 0.632 0.467 1
Ni3 Ni 0.622 0.632 0.033 1
Ni4 Ni 0.122 0.868 0.467 1
Ni5 Ni 0.122 0.868 0.033 1
Ni6 Ni 0.378 0.368 0.533 1
Ni7 Ni 0.378 0.368 0.967 1
Ni8 Ni 0.878 0.132 0.533 1
Ni9 Ni 0.192 0.129 0.750 1
Ni10 Ni 0.308 0.629 0.250 1
Ni11 Ni 0.808 0.871 0.250 1
Ni12 Ni 0.692 0.371 0.750 1
Pt1 Pt 0.000 0.500 0.000 1
Pt2 Pt 0.500 0.000 0.500 1
Pt3 Pt 0.500 0.000 0.000 1
Pt4 Pt 0.000 0.500 0.500 1
W1 W 0.330 0.686 0.750 1
W2 W 0.170 0.186 0.250 1
W3 W 0.670 0.314 0.250 1
W4 W 0.830 0.814 0.750 1
```

***

#R
Material: Ni3PtW
Method: DFT, PBE
State: relaxed

Calculated values
**SG**: Pm-3m (221)

```
data_Ni3PtW
_symmetry_space_group_name_H-M 'P 1'
_symmetry_Int_Tables_number 1
_symmetry_space_group_name_Hall 'P 1'
_cell_length_a 4.427
_cell_length_b 4.427
_cell_length_c 4.427
_cell_angle_alpha 90.00
_cell_angle_beta 90.00
_cell_angle_gamma 90.00
loop_
_atom_site_label
_atom_site_type_symbol
_atom_site_fract_x
_atom_site_fract_y
_atom_site_fract_z
_atom_site_occupancy
Ni1 Ni 0.000 0.500 0.000 1
Ni2 Ni 0.000 0.000 0.500 1
Ni3 Ni 0.500 0.000 0.000 1
W1 W 0.000 0.000 0.000 1
Pt1 Pt 0.500 0.500 0.500 1
```

***

#Q comes first in stability; the runner-up is 0.6 kJ/mol of atoms higher.